1.
Entry from the Alexandria database: ReMo2W at its PBEsol-relaxed geometry (SCAN).

a b c (Å): 3.1199 4.4271 8.8123
angles (deg): 90.00 90.00 90.00
Space group Cmm2 (No. 35)
Inequivalent atoms, fractional coordinates:
Re 0.0000 0.0000 0.0000 x2
Mo 0.0000 0.0000 0.5014 x2
Mo 0.0000 0.5000 0.7512 x2
W 0.0000 0.5000 0.2497 x2

Properties
relative energy among the computed polymorphs	49	meV per atom
energy relative to the elements	0.035	eV per atom
density of states at the Fermi level	0.72	states/eV/atom
magnetic moment	0.00	μB per cell


2.
Entry from the Alexandria database: Re2MoW at its PBEsol-relaxed geometry (SCAN).

a b c (Å): 3.1032 4.4086 8.7997
angles (deg): 90.00 90.00 90.00
Space group Cmmm (No. 65)
Inequivalent atoms, fractional coordinates:
Re 0.0000 0.0000 0.2494 x4
Mo 0.0000 0.5000 0.0000 x2
W 0.0000 0.5000 0.5000 x2

Properties
relative energy among the computed polymorphs	0	meV per atom
energy relative to the elements	0.060	eV per atom
density of states at the Fermi level	0.72	states/eV/atom
magnetic moment	0.00	μB per cell


3.
Entry from the Alexandria database: ReMo2W at its PBEsol-relaxed geometry (SCAN).

a b c (Å): 6.2406 6.2406 6.2406
angles (deg): 90.00 90.00 90.00
Space group F-43m (No. 216)
Inequivalent atoms, fractional coordinates:
Re 0.0000 0.0000 0.0000 x4
Mo 0.0000 0.0000 0.5000 x4
Mo 0.2500 0.2500 0.7500 x4
W 0.2500 0.2500 0.2500 x4

Properties
relative energy among the computed polymorphs	0	meV per atom
energy relative to the elements	-0.014	eV per atom
density of states at the Fermi level	0.68	states/eV/atom
magnetic moment	0.00	μB per cell


4.
Entry from the Alexandria database: Re2MoW at its PBEsol-relaxed geometry (SCAN).

a b c (Å): 9.1841 2.7795 4.8099
angles (deg): 90.00 99.94 90.00
Space group C2/m (No. 12)
Inequivalent atoms, fractional coordinates:
Re 0.2498 0.0000 0.2491 x4
Mo 0.0000 0.5000 0.0000 x2
W 0.0000 0.0000 0.5000 x2

Properties
relative energy among the computed polymorphs	181	meV per atom
energy relative to the elements	0.241	eV per atom
density of states at the Fermi level	0.77	states/eV/atom
magnetic moment	0.00	μB per cell


5.
Entry from the Alexandria database: ReMo2W at its PBEsol-relaxed geometry (SCAN).

a b c (Å): 3.1247 4.4191 8.8166
angles (deg): 90.00 90.00 90.00
Space group Cmmm (No. 65)
Inequivalent atoms, fractional coordinates:
Re 0.0000 0.0000 0.0000 x2
Mo 0.0000 0.5000 0.2483 x4
W 0.0000 0.0000 0.5000 x2

Properties
relative energy among the computed polymorphs	42	meV per atom
energy relative to the elements	0.029	eV per atom
density of states at the Fermi level	0.72	states/eV/atom
magnetic moment	0.00	μB per cell


6.
Entry from the Alexandria database: ReMo2W at its PBEsol-relaxed geometry (SCAN).

a b c (Å): 3.8379 3.8379 8.3542
angles (deg): 90.00 90.00 90.00
Space group I4/mmm (No. 139)
Inequivalent atoms, fractional coordinates:
Re 0.0000 0.0000 0.0000 x2
Mo 0.0000 0.5000 0.2500 x4
W 0.0000 0.0000 0.5000 x2

Properties
relative energy among the computed polymorphs	359	meV per atom
energy relative to the elements	0.345	eV per atom
density of states at the Fermi level	1.09	states/eV/atom
magnetic moment	0.00	μB per cell


7.
Entry from the Alexandria database: ReMo2W at its PBEsol-relaxed geometry (SCAN).

a b c (Å): 6.2412 6.2412 6.2412
angles (deg): 90.00 90.00 90.00
Space group Fm-3m (No. 225)
Inequivalent atoms, fractional coordinates:
Re 0.0000 0.0000 0.0000 x4
Mo 0.2500 0.2500 0.2500 x8
W 0.0000 0.0000 0.5000 x4

Properties
relative energy among the computed polymorphs	31	meV per atom
energy relative to the elements	0.017	eV per atom
density of states at the Fermi level	0.67	states/eV/atom
magnetic moment	0.00	μB per cell


8.
Entry from the Alexandria database: ReMo2W at its PBEsol-relaxed geometry (SCAN).

a b c (Å): 2.7329 2.7329 8.2715
angles (deg): 90.00 90.00 90.00
Space group P4mm (No. 99)
Inequivalent atoms, fractional coordinates:
Re 0.0000 0.0000 0.0000 x1
Mo 0.0000 0.0000 0.5033 x1
Mo 0.5000 0.5000 0.7666 x1
W 0.5000 0.5000 0.2388 x1

Properties
relative energy among the computed polymorphs	326	meV per atom
energy relative to the elements	0.312	eV per atom
density of states at the Fermi level	0.79	states/eV/atom
magnetic moment	0.00	μB per cell


9.
Entry from the Alexandria database: ReMo2W at its PBEsol-relaxed geometry (SCAN).

a b c (Å): 5.3923 8.8275 2.7087
angles (deg): 90.00 109.42 90.00
Space group C2/m (No. 12)
Inequivalent atoms, fractional coordinates:
Re 0.0000 0.0000 0.0000 x2
Mo 0.2500 0.2500 0.5000 x4
W 0.0000 0.5000 0.0000 x2

Properties
relative energy among the computed polymorphs	18	meV per atom
energy relative to the elements	0.005	eV per atom
density of states at the Fermi level	0.69	states/eV/atom
magnetic moment	0.00	μB per cell


10.
Entry from the Alexandria database: ReMo2W at its PBEsol-relaxed geometry (SCAN).

a b c (Å): 2.7068 4.4034 5.1805
angles (deg): 90.00 100.13 90.00
Space group Pm (No. 6)
Inequivalent atoms, fractional coordinates:
Re 0.0000 0.0000 0.0000 x1
Mo 0.2582 0.5000 0.7487 x1
Mo 0.5033 0.0000 0.5008 x1
W 0.7489 0.5000 0.2487 x1

Properties
relative energy among the computed polymorphs	20	meV per atom
energy relative to the elements	0.007	eV per atom
density of states at the Fermi level	0.69	states/eV/atom
magnetic moment	0.00	μB per cell


11.
Entry from the Alexandria database: ReMo2W at its PBEsol-relaxed geometry (SCAN).

a b c (Å): 4.4159 4.4159 3.1191
angles (deg): 90.00 90.00 90.00
Space group P4/mmm (No. 123)
Inequivalent atoms, fractional coordinates:
Re 0.0000 0.0000 0.0000 x1
Mo 0.0000 0.5000 0.5000 x2
W 0.5000 0.5000 0.0000 x1

Properties
relative energy among the computed polymorphs	24	meV per atom
energy relative to the elements	0.010	eV per atom
density of states at the Fermi level	0.71	states/eV/atom
magnetic moment	0.00	μB per cell


12.
Entry from the Alexandria database: ReMo2W at its PBEsol-relaxed geometry (SCAN).

a b c (Å): 3.1177 4.4220 8.8227
angles (deg): 90.00 90.00 90.00
Space group Imm2 (No. 44)
Inequivalent atoms, fractional coordinates:
Re 0.0000 0.0000 0.0000 x2
Mo 0.0000 0.0000 0.4973 x2
Mo 0.0000 0.5000 0.2463 x2
W 0.0000 0.5000 0.7503 x2

Properties
relative energy among the computed polymorphs	14	meV per atom
energy relative to the elements	0.001	eV per atom
density of states at the Fermi level	0.68	states/eV/atom
magnetic moment	0.00	μB per cell